(1)
Material: Y2NiTe6
Method: DFT, PBE-GGA
State: relaxed

Values from the calculation:
The value obtained for the electronic total energy is -43.90 eV per cell. The crystal system is hexagonal.

abc: 8.3871 8.3871 3.9189
angles: 90.00 90.00 120.00
Fractional coordinates of all 9 atoms:
Y  0.3333  0.6667  0.0000
Y  0.6667  0.3333  0.0000
Ni  0.0000  0.0000  0.5000
Te  0.0000  0.2191  0.0000
Te  0.0000  0.5453  0.5000
Te  0.2191  0.0000  0.0000
Te  0.4547  0.4547  0.5000
Te  0.5453  0.0000  0.5000
Te  0.7809  0.7809  0.0000

---

(2)
Material: TbB2C
Method: DFT, PBE-GGA
State: relaxed

Values from the calculation:
The value obtained for the electronic total energy is -234.35 eV per cell. The crystal system is tetragonal.

abc: 6.8030 6.8030 7.5346
angles: 90.00 90.00 90.00
Fractional coordinates of all 32 atoms:
Tb  0.1900  0.3100  0.2500
Tb  0.1900  0.3100  0.7500
Tb  0.3100  0.8100  0.2500
Tb  0.3100  0.8100  0.7500
Tb  0.6900  0.1900  0.2500
Tb  0.6900  0.1900  0.7500
Tb  0.8100  0.6900  0.2500
Tb  0.8100  0.6900  0.7500
B  0.0348  0.8486  0.0000
B  0.0952  0.5971  0.0000
B  0.0971  0.5952  0.5000
B  0.1514  0.0348  0.5000
B  0.3486  0.5348  0.5000
B  0.4029  0.0952  0.5000
B  0.4048  0.0971  0.0000
B  0.4652  0.3486  0.0000
B  0.5348  0.6514  0.0000
B  0.5952  0.9029  0.0000
B  0.5971  0.9048  0.5000
B  0.6514  0.4652  0.5000
B  0.8486  0.9652  0.5000
B  0.9029  0.4048  0.5000
B  0.9048  0.4029  0.0000
B  0.9652  0.1514  0.0000
C  0.0408  0.8228  0.5000
C  0.1772  0.0408  0.0000
C  0.3228  0.5408  0.0000
C  0.4592  0.3228  0.5000
C  0.5408  0.6772  0.5000
C  0.6772  0.4592  0.0000
C  0.8228  0.9592  0.0000
C  0.9592  0.1772  0.5000

---

(3)
Material: NaYSiNi
Method: DFT, PBE-GGA
State: relaxed

Values from the calculation:
For the excess energy over the best structure of this formula in the dataset, the calculation gives 0.00 eV/f.u. The crystal system is cubic.

abc: 6.4601 6.4601 6.4601
angles: 90.00 90.00 90.00
Fractional coordinates of all 16 atoms:
Na  0.0000  0.0000  0.0000
Na  0.0000  0.5000  0.5000
Na  0.5000  0.0000  0.5000
Na  0.5000  0.5000  0.0000
Y  0.2500  0.2500  0.7500
Y  0.2500  0.7500  0.2500
Y  0.7500  0.2500  0.2500
Y  0.7500  0.7500  0.7500
Si  0.2500  0.2500  0.2500
Si  0.2500  0.7500  0.7500
Si  0.7500  0.2500  0.7500
Si  0.7500  0.7500  0.2500
Ni  0.0000  0.0000  0.5000
Ni  0.0000  0.5000  0.0000
Ni  0.5000  0.0000  0.0000
Ni  0.5000  0.5000  0.5000

---

(4)
Material: NdHgMo
Method: DFT, PBE-GGA
State: relaxed

Values from the calculation:
The value obtained for the energy of formation from the pure elements is 1.105 eV per atom. For the excess energy over the best structure of this formula in the dataset, the calculation gives 0.92 eV/f.u. The crystal system is cubic.

abc: 7.0167 7.0167 7.0167
angles: 90.00 90.00 90.00
Fractional coordinates of all 12 atoms:
Nd  0.0000  0.0000  0.0000
Nd  0.0000  0.5000  0.5000
Nd  0.5000  0.0000  0.5000
Nd  0.5000  0.5000  0.0000
Hg  0.2500  0.2500  0.7500
Hg  0.2500  0.7500  0.2500
Hg  0.7500  0.2500  0.2500
Hg  0.7500  0.7500  0.7500
Mo  0.2500  0.2500  0.2500
Mo  0.2500  0.7500  0.7500
Mo  0.7500  0.2500  0.7500
Mo  0.7500  0.7500  0.2500

---

(5)
Material: YCuSbIr
Method: DFT, PBE-GGA
State: relaxed

Values from the calculation:
For the excess energy over the best structure of this formula in the dataset, the calculation gives 1.15 eV/f.u. The crystal system is cubic.

abc: 6.7613 6.7613 6.7613
angles: 90.00 90.00 90.00
Fractional coordinates of all 16 atoms:
Y  0.0000  0.0000  0.0000
Y  0.0000  0.5000  0.5000
Y  0.5000  0.0000  0.5000
Y  0.5000  0.5000  0.0000
Cu  0.0000  0.0000  0.5000
Cu  0.0000  0.5000  0.0000
Cu  0.5000  0.0000  0.0000
Cu  0.5000  0.5000  0.5000
Sb  0.2500  0.2500  0.2500
Sb  0.2500  0.7500  0.7500
Sb  0.7500  0.2500  0.7500
Sb  0.7500  0.7500  0.2500
Ir  0.2500  0.2500  0.7500
Ir  0.2500  0.7500  0.2500
Ir  0.7500  0.2500  0.2500
Ir  0.7500  0.7500  0.7500

---

(6)
Material: Dy4PdAu3
Method: DFT, PBE-GGA
State: relaxed

Values from the calculation:
The value obtained for the energy of formation from the pure elements is -0.903 eV per atom. The crystal system is orthorhombic.

abc: 3.7439 4.6693 10.8022
angles: 90.00 90.00 90.00
Fractional coordinates of all 8 atoms:
Dy  0.0000  0.0000  0.0000
Dy  0.0000  0.5000  0.2700
Dy  0.5000  0.0000  0.4885
Dy  0.5000  0.5000  0.7729
Pd  0.5000  0.0000  0.2202
Au  0.0000  0.0000  0.7224
Au  0.0000  0.5000  0.5444
Au  0.5000  0.5000  0.0481

---

(7)
Material: CuBiPdW
Method: DFT, PBE-GGA
State: relaxed

Values from the calculation:
For the excess energy over the best structure of this formula in the dataset, the calculation gives 0.46 eV/f.u. The crystal system is cubic.

abc: 6.5955 6.5955 6.5955
angles: 90.00 90.00 90.00
Fractional coordinates of all 16 atoms:
Cu  0.0000  0.0000  0.0000
Cu  0.0000  0.5000  0.5000
Cu  0.5000  0.0000  0.5000
Cu  0.5000  0.5000  0.0000
Bi  0.2500  0.2500  0.7500
Bi  0.2500  0.7500  0.2500
Bi  0.7500  0.2500  0.2500
Bi  0.7500  0.7500  0.7500
Pd  0.0000  0.0000  0.5000
Pd  0.0000  0.5000  0.0000
Pd  0.5000  0.0000  0.0000
Pd  0.5000  0.5000  0.5000
W  0.2500  0.2500  0.2500
W  0.2500  0.7500  0.7500
W  0.7500  0.2500  0.7500
W  0.7500  0.7500  0.2500

---

(8)
Material: Li8PaO6
Method: DFT, PBE-GGA
State: relaxed

Values from the calculation:
The value obtained for the electronic total energy is -85.17 eV per cell. The crystal system is trigonal.

abc: 6.2656 6.2656 6.2656
angles: 53.19 53.19 53.19
Fractional coordinates of all 15 atoms:
Li  0.0036  0.3932  0.7285
Li  0.1499  0.1499  0.1499
Li  0.2715  0.9964  0.6068
Li  0.3932  0.7285  0.0036
Li  0.6068  0.2715  0.9964
Li  0.7285  0.0036  0.3932
Li  0.8501  0.8501  0.8501
Li  0.9964  0.6068  0.2715
Pa  0.5000  0.5000  0.5000
O  0.0949  0.7448  0.4025
O  0.2552  0.5975  0.9051
O  0.4025  0.0949  0.7448
O  0.5975  0.9051  0.2552
O  0.7448  0.4025  0.0949
O  0.9051  0.2552  0.5975